one.
DFT (PBE) results for a relaxed structure of CsGeTe4. Values from VASP.

Properties
N(E_F) ... 1.9 states/eV/f.u.
SG ... C2/c, No. 15

Geometry as Quantum ESPRESSO input:
```
&SYSTEM
  ibrav = 0, nat = 12, ntyp = 3
/
ATOMIC_SPECIES
Cs 132.91 Cs.upf
Ge 72.64 Ge.upf
Te 127.60 Te.upf
CELL_PARAMETERS angstrom
4.883 -8.749 0.000
4.883 8.749 0.000
-4.690 0.000 6.607
ATOMIC_POSITIONS crystal
Cs 0.149 0.851 0.750
Cs 0.851 0.149 0.250
Ge 0.485 0.515 0.750
Ge 0.515 0.485 0.250
Te 0.130 0.249 0.936
Te 0.249 0.130 0.436
Te 0.285 0.556 0.892
Te 0.444 0.715 0.608
Te 0.556 0.285 0.392
Te 0.715 0.444 0.108
Te 0.751 0.870 0.564
Te 0.870 0.751 0.064
```

---

two.
DFT (PBE) results for a relaxed structure of CsGeTe4. Values from VASP.

Properties
N(E_F) ... 1.2 states/eV/f.u.
SG ... P-1, No. 2

Geometry as Quantum ESPRESSO input:
```
&SYSTEM
  ibrav = 0, nat = 12, ntyp = 3
/
ATOMIC_SPECIES
Cs 132.91 Cs.upf
Ge 72.64 Ge.upf
Te 127.60 Te.upf
CELL_PARAMETERS angstrom
7.437 0.000 0.000
3.490 7.875 0.000
0.001 3.229 8.668
ATOMIC_POSITIONS crystal
Cs 0.215 0.495 0.252
Cs 0.785 0.505 0.748
Ge 0.000 0.000 0.500
Ge 0.500 0.000 0.000
Te 0.189 0.678 0.794
Te 0.214 0.968 0.226
Te 0.317 0.964 0.728
Te 0.387 0.319 0.705
Te 0.613 0.681 0.295
Te 0.683 0.036 0.272
Te 0.786 0.032 0.774
Te 0.811 0.322 0.206
```

---

Ranked by calculated energy, most stable first: one, two.